Record 1
Here is an optimized crystal structure of NaCdAg from Alexandria. Energies are from GGA-PBE.

Structure (CIF):
```
data_NaCdAg
_chemical_formula_sum 'Na2 Cd2 Ag2'
_cell_length_a 3.5858
_cell_length_b 3.5858
_cell_length_c 10.6950
_cell_angle_alpha 90.00
_cell_angle_beta 90.00
_cell_angle_gamma 90.00
_symmetry_space_group_name_H-M 'I 4 m m'
_symmetry_Int_Tables_number 107
_symmetry_space_group_name_Hall 'I 4 -2'
loop_
_atom_site_label
_atom_site_type_symbol
_atom_site_fract_x
_atom_site_fract_y
_atom_site_fract_z
_atom_site_occupancy
Na1 Na 0.0000 0.0000 0.0000 1
Cd1 Cd 0.0000 0.0000 0.6920 1
Ag1 Ag 0.0000 0.0000 0.3221 1
```

Output
DOS(E_F) = 1.032 states/eV/f.u.
Mass density = 5.87 g cm⁻³
Energy relative to the lowest polymorph listed for this composition = 86 meV/atom

---

Record 2
Here is an optimized crystal structure of ErTm2Ag6 from Alexandria. Energies are from GGA-PBE.

Structure (CIF):
```
data_ErTm2Ag6
_chemical_formula_sum 'Er4 Tm8 Ag24'
_cell_length_a 13.9457
_cell_length_b 10.7432
_cell_length_c 5.2655
_cell_angle_alpha 90.00
_cell_angle_beta 100.52
_cell_angle_gamma 90.00
_symmetry_space_group_name_H-M 'C 1 2/c 1'
_symmetry_Int_Tables_number 15
loop_
_symmetry_equiv_pos_as_xyz
'x,y,z'
'-x,-y,-z'
'-x,y,-z+1/2'
'x,-y,z+1/2'
'x+1/2,y+1/2,z'
'-x+1/2,-y+1/2,-z'
'-x+1/2,y+1/2,-z+1/2'
'x+1/2,-y+1/2,z+1/2'
loop_
_atom_site_label
_atom_site_type_symbol
_atom_site_fract_x
_atom_site_fract_y
_atom_site_fract_z
_atom_site_occupancy
Er1 Er 0.0000 0.1251 0.2500 1
Tm1 Tm 0.1667 0.3751 0.0838 1
Ag1 Ag 0.0556 0.3756 0.5269 1
Ag2 Ag 0.1114 0.1258 0.8069 1
Ag3 Ag 0.2229 0.1250 0.3594 1
```

Output
DOS(E_F) = 5.450 states/eV/f.u.
Energy = -130.47 eV per cell
Mass density = 9.87 g cm⁻³

---

Record 3
Here is an optimized crystal structure of CeMgGa2 from Alexandria. Energies are from GGA-PBE.

Structure (CIF):
```
data_CeMgGa2
_chemical_formula_sum 'Ce1 Mg1 Ga2'
_cell_length_a 3.4071
_cell_length_b 3.4071
_cell_length_c 7.2422
_cell_angle_alpha 90.00
_cell_angle_beta 90.00
_cell_angle_gamma 90.00
_symmetry_space_group_name_H-M 'P 4/m m m'
_symmetry_Int_Tables_number 123
_symmetry_space_group_name_Hall '-P 4 2'
loop_
_atom_site_label
_atom_site_type_symbol
_atom_site_fract_x
_atom_site_fract_y
_atom_site_fract_z
_atom_site_occupancy
Ce1 Ce 0.0000 0.0000 0.0000 1
Mg1 Mg 0.0000 0.0000 0.5000 1
Ga1 Ga 0.5000 0.5000 0.2835 1
```

Output
DOS(E_F) = 5.567 states/eV/f.u.
Energy = -14.96 eV per cell
Mass density = 6.00 g cm⁻³

---

Record 4
Here is an optimized crystal structure of KGe2Au4 from Alexandria. Energies are from GGA-PBE.

Structure (CIF):
```
data_KGe2Au4
_chemical_formula_sum 'K4 Ge8 Au16'
_cell_length_a 21.0369
_cell_length_b 4.6137
_cell_length_c 6.6040
_cell_angle_alpha 90.00
_cell_angle_beta 90.00
_cell_angle_gamma 90.00
_symmetry_space_group_name_H-M 'P n m a'
_symmetry_Int_Tables_number 62
loop_
_symmetry_equiv_pos_as_xyz
'x,y,z'
'-x,-y,-z'
'-x+1/2,-y,z+1/2'
'x+1/2,y,-z+1/2'
'x+1/2,-y+1/2,-z+1/2'
'-x+1/2,y+1/2,z+1/2'
'-x,y+1/2,-z'
'x,-y+1/2,z'
loop_
_atom_site_label
_atom_site_type_symbol
_atom_site_fract_x
_atom_site_fract_y
_atom_site_fract_z
_atom_site_occupancy
K1 K 0.1398 0.2500 0.0050 1
Ge1 Ge 0.0301 0.7500 0.1867 1
Ge2 Ge 0.1998 0.2500 0.5129 1
Au1 Au 0.0275 0.7500 0.7811 1
Au2 Au 0.0678 0.2500 0.5554 1
Au3 Au 0.1307 0.7500 0.4131 1
Au4 Au 0.2241 0.7500 0.7152 1
```

Output
DOS(E_F) = 2.215 states/eV/f.u.
Mass density = 10.08 g cm⁻³
Energy relative to the lowest polymorph listed for this composition = 17 meV/atom